No. 1
## BaZn3Rh (GGA-PBE)

Data for an optimized crystal structure of BaZn3Rh.

a = 6.8834 Å, b = 6.8834 Å, c = 6.8834 Å
α = 121.85°, β = 90.65°, γ = 117.45°
Fractional coordinates of all 10 atoms:
Ba1 0.3280 0.0780 0.2500
Ba2 0.6720 0.9220 0.7500
Zn1 0.1800 0.4300 0.7500
Zn2 0.2100 0.0000 0.7100
Zn3 0.2100 0.5000 0.2100
Zn4 0.7900 0.0000 0.2900
Zn5 0.7900 0.5000 0.7900
Zn6 0.8200 0.5700 0.2500
Rh1 0.0000 0.5000 0.5000
Rh2 0.5000 0.5000 0.0000

## Properties
- V (Å³ per cell) = 231.4
- crystal system = orthorhombic
- SG = No. 74
- distance to the lowest polymorph of the same formula (eV per atom) = 0.0000
- ΔE_f (eV per formula unit) = -1.78



No. 2
## Ac4GeSI2 (GGA-PBE)

Data for an optimized crystal structure of Ac4GeSI2.

a = 7.6878 Å, b = 4.5041 Å, c = 8.6029 Å
α = 90.00°, β = 107.90°, γ = 90.00°
Fractional coordinates of all 8 atoms:
Ac1 0.2240 0.0000 0.1959
Ac2 0.2567 0.5000 0.8006
Ac3 0.7433 0.5000 0.1994
Ac4 0.7760 0.0000 0.8041
Ge1 0.5000 0.0000 0.0000
S1 0.0000 0.5000 0.0000
I1 0.0000 0.0000 0.5000
I2 0.5000 0.5000 0.5000

## Properties
- V (Å³ per cell) = 283.5
- total DFT energy (no corrections) (eV per atom) = -4.776
- crystal system = monoclinic
- SG = No. 10



No. 3
## SrInAs3 (GGA-PBE)

Data for an optimized crystal structure of SrInAs3.

a = 5.2798 Å, b = 5.2798 Å, c = 5.2798 Å
α = 90.00°, β = 90.00°, γ = 90.00°
Fractional coordinates of all 5 atoms:
Sr1 0.0000 0.0000 0.0000
In1 0.5000 0.5000 0.5000
As1 0.0000 0.5000 0.5000
As2 0.5000 0.0000 0.5000
As3 0.5000 0.5000 0.0000

## Properties
- V (Å³ per cell) = 147.2
- crystal system = cubic
- SG = No. 221
- distance to the lowest polymorph of the same formula (eV per atom) = 0.0000
- ΔE_f (eV per formula unit) = 0.59



No. 4
## Sr3RuRh (GGA-PBE)

Data for an optimized crystal structure of Sr3RuRh.

a = 5.5912 Å, b = 5.5912 Å, c = 5.5912 Å
α = 90.00°, β = 90.00°, γ = 90.00°
Fractional coordinates of all 5 atoms:
Sr1 0.0000 0.0000 0.5000
Sr2 0.0000 0.5000 0.0000
Sr3 0.5000 0.0000 0.0000
Ru1 0.5000 0.5000 0.5000
Rh1 0.0000 0.0000 0.0000

## Properties
- V (Å³ per cell) = 174.8
- crystal system = cubic
- SG = No. 221
- distance to the lowest polymorph of the same formula (eV per atom) = 0.0000
- ΔE_f (eV per formula unit) = 2.97



No. 5
## Ca4TlIr (GGA-PBE)

Data for an optimized crystal structure of Ca4TlIr.

a = 6.1061 Å, b = 6.1061 Å, c = 6.1061 Å
α = 60.00°, β = 60.00°, γ = 60.00°
Fractional coordinates of all 6 atoms:
Ca1 0.1237 0.1237 0.1237
Ca2 0.1237 0.1237 0.6289
Ca3 0.1237 0.6289 0.1237
Ca4 0.6289 0.1237 0.1237
Tl1 0.5000 0.5000 0.5000
Ir1 0.7500 0.7500 0.7500

## Properties
- V (Å³ per cell) = 161.0
- crystal system = cubic
- SG = No. 216
- distance to the lowest polymorph of the same formula (eV per atom) = 0.9433
- ΔE_f (eV per formula unit) = 3.42



No. 6
## CsTiRe2 (GGA-PBE)

Data for an optimized crystal structure of CsTiRe2.

a = 9.5310 Å, b = 9.5310 Å, c = 9.5310 Å
α = 149.91°, β = 149.91°, γ = 43.08°
Fractional coordinates of all 8 atoms:
Cs1 0.0000 0.0000 0.0000
Cs2 0.7500 0.2500 0.5000
Ti1 0.2500 0.7500 0.5000
Ti2 0.5000 0.5000 0.0000
Re1 0.3254 0.1250 0.7004
Re2 0.3750 0.6746 0.7996
Re3 0.4246 0.6250 0.2996
Re4 0.8750 0.5754 0.2004

## Properties
- V (Å³ per cell) = 217.1
- crystal system = tetragonal
- SG = No. 122
- distance to the lowest polymorph of the same formula (eV per atom) = 0.0000
- ΔE_f (eV per formula unit) = 6.82



No. 7
## Al4Si23 (GGA-PBE)

Data for an optimized crystal structure of Al4Si23.

a = 10.1586 Å, b = 10.1586 Å, c = 10.1586 Å
α = 90.00°, β = 90.00°, γ = 90.00°
Fractional coordinates of all 54 atoms:
Al1 0.0000 0.0000 0.0000
Al2 0.0000 0.2500 0.5000
Al3 0.0000 0.7500 0.5000
Al4 0.2500 0.5000 0.0000
Al5 0.5000 0.0000 0.2500
Al6 0.5000 0.0000 0.7500
Al7 0.5000 0.5000 0.5000
Al8 0.7500 0.5000 0.0000
Si1 0.0000 0.3084 0.1168
Si2 0.0000 0.3084 0.8832
Si3 0.0000 0.5000 0.2500
Si4 0.0000 0.5000 0.7500
Si5 0.0000 0.6916 0.1168
Si6 0.0000 0.6916 0.8832
Si7 0.1168 0.0000 0.3084
Si8 0.1168 0.0000 0.6916
Si9 0.1836 0.1836 0.1836
Si10 0.1836 0.1836 0.8164
Si11 0.1836 0.8164 0.1836
Si12 0.1836 0.8164 0.8164
Si13 0.1916 0.5000 0.3832
Si14 0.1916 0.5000 0.6168
Si15 0.2500 0.0000 0.5000
Si16 0.3084 0.1168 0.0000
Si17 0.3084 0.8832 0.0000
Si18 0.3164 0.3164 0.3164
Si19 0.3164 0.3164 0.6836
Si20 0.3164 0.6836 0.3164
Si21 0.3164 0.6836 0.6836
Si22 0.3832 0.1916 0.5000
Si23 0.3832 0.8084 0.5000
Si24 0.5000 0.2500 0.0000
Si25 0.5000 0.3832 0.1916
Si26 0.5000 0.3832 0.8084
Si27 0.5000 0.6168 0.1916
Si28 0.5000 0.6168 0.8084
Si29 0.5000 0.7500 0.0000
Si30 0.6168 0.1916 0.5000
Si31 0.6168 0.8084 0.5000
Si32 0.6836 0.3164 0.3164
Si33 0.6836 0.3164 0.6836
Si34 0.6836 0.6836 0.3164
Si35 0.6836 0.6836 0.6836
Si36 0.6916 0.1168 0.0000
Si37 0.6916 0.8832 0.0000
Si38 0.7500 0.0000 0.5000
Si39 0.8084 0.5000 0.3832
Si40 0.8084 0.5000 0.6168
Si41 0.8164 0.1836 0.1836
Si42 0.8164 0.1836 0.8164
Si43 0.8164 0.8164 0.1836
Si44 0.8164 0.8164 0.8164
Si45 0.8832 0.0000 0.3084
Si46 0.8832 0.0000 0.6916

## Properties
- V (Å³ per cell) = 1048.3
- total DFT energy (no corrections) (eV per atom) = -4.953
- crystal system = cubic
- SG = No. 223



No. 8
## LaPm5Pr6 (GGA-PBE)

Data for an optimized crystal structure of LaPm5Pr6.

a = 8.2718 Å, b = 8.2718 Å, c = 10.4358 Å
α = 90.03°, β = 90.03°, γ = 143.16°
Fractional coordinates of all 12 atoms:
La1 0.0000 0.0000 0.0000
Pm1 0.0000 0.0000 0.5000
Pm2 0.3321 0.6679 0.0000
Pm3 0.3331 0.6669 0.5000
Pm4 0.6669 0.3331 0.5000
Pm5 0.6679 0.3321 0.0000
Pr1 0.1667 0.8332 0.2510
Pr2 0.1668 0.8333 0.7490
Pr3 0.4999 0.4999 0.2517
Pr4 0.5001 0.5001 0.7483
Pr5 0.8332 0.1667 0.2510
Pr6 0.8333 0.1668 0.7490

## Properties
- V (Å³ per cell) = 428.2
- crystal system = monoclinic
- SG = No. 12
- ΔE_f (eV per formula unit) = 0.16



No. 9
## CrTc2W (GGA-PBE)

Data for an optimized crystal structure of CrTc2W.

a = 2.7655 Å, b = 3.8242 Å, c = 5.4706 Å
α = 90.00°, β = 90.00°, γ = 90.00°
Fractional coordinates of all 4 atoms:
Cr1 0.0000 0.0000 0.0000
Tc1 0.0000 0.0000 0.4868
Tc2 0.5000 0.5000 0.2369
W1 0.5000 0.5000 0.7490

## Properties
- V (Å³ per cell) = 57.9
- crystal system = orthorhombic
- SG = No. 25
- ΔE_f (eV per formula unit) = 0.92



No. 10
## CdMoAsSe2 (GGA-PBE)

Data for an optimized crystal structure of CdMoAsSe2.

a = 4.9557 Å, b = 4.9557 Å, c = 4.9794 Å
α = 90.00°, β = 90.00°, γ = 90.00°
Fractional coordinates of all 5 atoms:
Cd1 0.0000 0.0000 0.0000
Mo1 0.5000 0.5000 0.5000
As1 0.5000 0.5000 0.0000
Se1 0.0000 0.5000 0.5000
Se2 0.5000 0.0000 0.5000

## Properties
- V (Å³ per cell) = 122.3
- crystal system = tetragonal
- SG = No. 123
- distance to the lowest polymorph of the same formula (eV per atom) = 0.0000



No. 11
## TcNiCl3 (GGA-PBE)

Data for an optimized crystal structure of TcNiCl3.

a = 4.8532 Å, b = 4.8532 Å, c = 4.8532 Å
α = 90.00°, β = 90.00°, γ = 90.00°
Fractional coordinates of all 5 atoms:
Tc1 0.0000 0.0000 0.0000
Ni1 0.5000 0.5000 0.5000
Cl1 0.0000 0.0000 0.5000
Cl2 0.0000 0.5000 0.0000
Cl3 0.5000 0.0000 0.0000

## Properties
- V (Å³ per cell) = 114.3
- crystal system = cubic
- SG = No. 221
- distance to the lowest polymorph of the same formula (eV per atom) = 0.1187



No. 12
## FeTeMo2 (GGA-PBE)

Data for an optimized crystal structure of FeTeMo2.

a = 3.0371 Å, b = 4.2342 Å, c = 5.2233 Å
α = 90.00°, β = 103.41°, γ = 90.00°
Fractional coordinates of all 4 atoms:
Fe1 0.0000 0.0000 0.0000
Te1 0.9417 0.5000 0.7317
Mo1 0.3655 0.0000 0.4683
Mo2 0.6152 0.5000 0.2054

## Properties
- V (Å³ per cell) = 65.3
- crystal system = monoclinic
- SG = No. 6
- distance to the lowest polymorph of the same formula (eV per atom) = 0.1312



No. 13
## Ac3CdCl (GGA-PBE)

Data for an optimized crystal structure of Ac3CdCl.

a = 5.7246 Å, b = 5.7246 Å, c = 5.7246 Å
α = 90.00°, β = 90.00°, γ = 90.00°
Fractional coordinates of all 5 atoms:
Ac1 0.0000 0.0000 0.5000
Ac2 0.0000 0.5000 0.0000
Ac3 0.5000 0.0000 0.0000
Cd1 0.5000 0.5000 0.5000
Cl1 0.0000 0.0000 0.0000

## Properties
- V (Å³ per cell) = 187.6
- total DFT energy (no corrections) (eV per atom) = -3.460
- crystal system = cubic
- SG = No. 221



No. 14
## Sm4AlAg2 (GGA-PBE)

Data for an optimized crystal structure of Sm4AlAg2.

a = 9.4311 Å, b = 9.4311 Å, c = 9.4311 Å
α = 31.63°, β = 31.63°, γ = 31.63°
Fractional coordinates of all 7 atoms:
Sm1 0.1255 0.1255 0.1255
Sm2 0.2897 0.2897 0.2897
Sm3 0.7103 0.7103 0.7103
Sm4 0.8745 0.8745 0.8745
Al1 0.5000 0.5000 0.5000
Ag1 0.4032 0.4032 0.4032
Ag2 0.5968 0.5968 0.5968

## Properties
- V (Å³ per cell) = 204.9
- crystal system = trigonal
- SG = No. 166
- distance to the lowest polymorph of the same formula (eV per atom) = 0.0806
- ΔE_f (eV per formula unit) = -0.54



No. 15
## ZrAgTe2 (GGA-PBE)

Data for an optimized crystal structure of ZrAgTe2.

a = 4.0788 Å, b = 7.1110 Å, c = 8.2241 Å
α = 81.51°, β = 75.68°, γ = 89.98°
Fractional coordinates of all 8 atoms:
Zr1 0.2489 0.2168 0.0053
Zr2 0.7511 0.7832 0.9947
Ag1 0.0474 0.1963 0.4091
Ag2 0.9526 0.8037 0.5909
Te1 0.1294 0.8568 0.2396
Te2 0.3519 0.6074 0.7939
Te3 0.6481 0.3926 0.2061
Te4 0.8706 0.1432 0.7604

## Properties
- V (Å³ per cell) = 228.4
- total DFT energy (no corrections) (eV per atom) = -4.975
- crystal system = triclinic
- SG = No. 2



No. 16
## CdSiBr2 (GGA-PBE)

Data for an optimized crystal structure of CdSiBr2.

a = 3.9056 Å, b = 3.9056 Å, c = 10.3446 Å
α = 100.11°, β = 100.11°, γ = 59.97°
Fractional coordinates of all 4 atoms:
Cd1 0.0000 0.0000 0.0000
Si1 0.5000 0.5000 0.5000
Br1 0.2159 0.2159 0.6591
Br2 0.7841 0.7841 0.3409

## Properties
- V (Å³ per cell) = 133.8
- crystal system = monoclinic
- SG = No. 12
- distance to the lowest polymorph of the same formula (eV per atom) = 0.1069



No. 17
## LiYTlSn (GGA-PBE)

Data for an optimized crystal structure of LiYTlSn.

a = 5.1960 Å, b = 5.1960 Å, c = 5.1960 Å
α = 60.00°, β = 60.00°, γ = 60.00°
Fractional coordinates of all 4 atoms:
Li1 0.0000 0.0000 0.0000
Y1 0.5000 0.5000 0.5000
Tl1 0.7500 0.7500 0.7500
Sn1 0.2500 0.2500 0.2500

## Properties
- V (Å³ per cell) = 99.2
- crystal system = cubic
- SG = No. 216
- distance to the lowest polymorph of the same formula (eV per atom) = 0.0698
- ΔE_f (eV per formula unit) = -1.53



No. 18
## Mn3Nb2Fe (GGA-PBE)

Data for an optimized crystal structure of Mn3Nb2Fe.

a = 4.8590 Å, b = 4.8590 Å, c = 4.8590 Å
α = 58.94°, β = 58.94°, γ = 58.94°
Fractional coordinates of all 6 atoms:
Mn1 0.0000 0.5000 0.5000
Mn2 0.5000 0.0000 0.5000
Mn3 0.5000 0.5000 0.0000
Nb1 0.1238 0.1238 0.1238
Nb2 0.8762 0.8762 0.8762
Fe1 0.5000 0.5000 0.5000

## Properties
- V (Å³ per cell) = 79.2
- crystal system = trigonal
- SG = No. 166
- ΔE_f (eV per formula unit) = -0.87



No. 19
## Ba2InH6Pd (GGA-PBE)

Data for an optimized crystal structure of Ba2InH6Pd.

a = 5.8907 Å, b = 5.8907 Å, c = 5.9125 Å
α = 119.72°, β = 119.72°, γ = 90.03°
Fractional coordinates of all 10 atoms:
Ba1 0.2501 0.7499 0.0000
Ba2 0.7499 0.2501 0.0000
In1 0.0000 0.0000 0.5000
H1 0.2844 0.7156 0.5000
H2 0.2852 0.2852 0.0697
H3 0.2852 0.2852 0.5016
H4 0.7148 0.7148 0.4984
H5 0.7148 0.7148 0.9303
H6 0.7156 0.2844 0.5000
Pd1 0.5000 0.5000 0.5000

## Properties
- V (Å³ per cell) = 146.2
- total DFT energy (no corrections) (eV per atom) = -3.511
- crystal system = monoclinic
- SG = No. 12



No. 20
## Pm3Ho2Rh2 (GGA-PBE)

Data for an optimized crystal structure of Pm3Ho2Rh2.

a = 6.3913 Å, b = 6.3913 Å, c = 8.9647 Å
α = 114.20°, β = 114.20°, γ = 35.29°
Fractional coordinates of all 7 atoms:
Pm1 0.0000 0.0000 0.0000
Pm2 0.1135 0.1135 0.4277
Pm3 0.8865 0.8865 0.5723
Ho1 0.3298 0.3298 0.1876
Ho2 0.6702 0.6702 0.8124
Rh1 0.3154 0.3154 0.7597
Rh2 0.6846 0.6846 0.2403

## Properties
- V (Å³ per cell) = 191.0
- crystal system = monoclinic
- SG = No. 12
- ΔE_f (eV per formula unit) = -3.60



No. 21
## Sb2AsPd (GGA-PBE)

Data for an optimized crystal structure of Sb2AsPd.

a = 10.6014 Å, b = 10.6014 Å, c = 10.6014 Å
α = 17.22°, β = 17.22°, γ = 17.22°
Fractional coordinates of all 4 atoms:
Sb1 0.0961 0.0961 0.0961
Sb2 0.9039 0.9039 0.9039
As1 0.0000 0.0000 0.0000
Pd1 0.5000 0.5000 0.5000

## Properties
- V (Å³ per cell) = 91.2
- total DFT energy (no corrections) (eV per atom) = -4.429
- crystal system = trigonal
- SG = No. 166



No. 22
## BeSeBr2Cl (GGA-PBE)

Data for an optimized crystal structure of BeSeBr2Cl.

a = 4.4504 Å, b = 4.4504 Å, c = 5.8982 Å
α = 90.00°, β = 90.00°, γ = 90.00°
Fractional coordinates of all 5 atoms:
Be1 0.0000 0.0000 0.0000
Se1 0.0000 0.0000 0.5000
Br1 0.0000 0.5000 0.0000
Br2 0.5000 0.0000 0.0000
Cl1 0.5000 0.5000 0.5000

## Properties
- V (Å³ per cell) = 116.8
- crystal system = tetragonal
- SG = No. 123
- distance to the lowest polymorph of the same formula (eV per atom) = 0.0000



No. 23
## MnH3S (GGA-PBE)

Data for an optimized crystal structure of MnH3S.

a = 3.5311 Å, b = 3.5311 Å, c = 3.5311 Å
α = 90.00°, β = 90.00°, γ = 90.00°
Fractional coordinates of all 5 atoms:
Mn1 0.0000 0.0000 0.0000
H1 0.0000 0.5000 0.5000
H2 0.5000 0.0000 0.5000
H3 0.5000 0.5000 0.0000
S1 0.5000 0.5000 0.5000

## Properties
- V (Å³ per cell) = 44.0
- crystal system = cubic
- SG = No. 221
- distance to the lowest polymorph of the same formula (eV per atom) = 0.2411



No. 24
## ReMo2HPd (GGA-PBE)

Data for an optimized crystal structure of ReMo2HPd.

a = 4.0154 Å, b = 4.0154 Å, c = 3.9240 Å
α = 90.00°, β = 90.00°, γ = 90.00°
Fractional coordinates of all 5 atoms:
Re1 0.0000 0.0000 0.0000
Mo1 0.0000 0.5000 0.5000
Mo2 0.5000 0.0000 0.5000
H1 0.5000 0.5000 0.5000
Pd1 0.5000 0.5000 0.0000

## Properties
- V (Å³ per cell) = 63.3
- crystal system = tetragonal
- SG = No. 123
- distance to the lowest polymorph of the same formula (eV per atom) = 0.0000